(1)
A geometry-optimized Ac5SmTl4 structure, computed with PBE.

a b c (Å): 3.9245 3.9245 23.5155
angles (deg): 90.00 90.00 90.00
Last column: nearest neighbours and their distance in Å.
Space group P4/mmm (No. 123)
One atom of each set of equivalent atoms:
Ac 0.0000 0.0000 0.0000 (multiplicity 1)  8 Tl 3.60, 4 Ac 3.92
Ac 0.0000 0.0000 0.1950 (multiplicity 2)  8 Tl 3.58-3.59, 4 Ac 3.92
Ac 0.0000 0.0000 0.3880 (multiplicity 2)  4 Tl 3.58, 4 Sm 3.83, 4 Ac 3.92
Sm 0.5000 0.5000 0.5000 (multiplicity 1)  8 Ac 3.83, 4 Sm 3.92
Tl 0.5000 0.5000 0.0978 (multiplicity 2)  8 Ac 3.59-3.60, 4 Tl 3.92
Tl 0.5000 0.5000 0.2915 (multiplicity 2)  8 Ac 3.58, 4 Tl 3.92

Properties
VASP energy (eV per cell): -37.34
Magnetic moment (μB/cell): 0.005
Volume (Å³/cell): 362.2

=====

(2)
A geometry-optimized AcSm7Tl2 structure, computed with PBE.

a b c (Å): 9.2837 15.5940 5.6968
angles (deg): 90.00 90.00 90.00
Last column: nearest neighbours and their distance in Å.
Space group Cmmm (No. 65)
One atom of each set of equivalent atoms:
Ac 0.0000 0.0000 0.0000 (multiplicity 2)  10 Sm 3.71-3.82
Sm 0.0000 0.2382 0.0000 (multiplicity 4)  2 Tl 3.03
Sm 0.0000 0.5000 0.5000 (multiplicity 2)  2 Tl 3.05
Sm 0.1806 0.1234 0.5000 (multiplicity 8)  2 Tl 3.17-3.28, 2 Sm 3.35-3.53
Tl 0.0000 0.3044 0.5000 (multiplicity 4)  7 Sm 3.03-3.28

Properties
VASP energy (eV per cell): -77.25
Magnetic moment (μB/cell): 0.028
Volume (Å³/cell): 824.7

=====

(3)
A geometry-optimized Ac3SmTl4 structure, computed with PBE.

a b c (Å): 4.0184 4.0184 16.6532
angles (deg): 90.00 90.00 90.00
Last column: nearest neighbours and their distance in Å.
Space group P4/mmm (No. 123)
One atom of each set of equivalent atoms:
Ac 0.0000 0.0000 0.0000 (multiplicity 1)  8 Tl 3.59, 4 Ac 4.02
Ac 0.0000 0.0000 0.2608 (multiplicity 2)  8 Tl 3.56-3.59, 1 Sm 3.98
Sm 0.0000 0.0000 0.5000 (multiplicity 1)  8 Tl 3.36
Tl 0.5000 0.5000 0.1316 (multiplicity 2)  8 Ac 3.56-3.59
Tl 0.5000 0.5000 0.3926 (multiplicity 2)  4 Sm 3.36, 1 Tl 3.58, 4 Ac 3.59

Properties
VASP energy (eV per cell): -29.34
Distance to the lowest polymorph of the same formula (kJ/mol of atoms): 0.0
Magnetic moment (μB/cell): 0.000
Volume (Å³/cell): 268.9